No. 1
4
Lattice="0.000 5.211 5.211 5.211 0.000 5.211 5.211 5.211 0.000" Properties=species:S:1:pos:R:3 comment="K3Ba (PBE, relaxed)" total_energy_ev_per_atom=-1.18 dos_at_fermi_per_ev_cell=4.83 total_magnetization_mub_per_cell=0.0 pbc="T T T"
K 0.000 0.000 0.000
K 2.605 2.605 2.605
K 7.816 7.816 7.816
Ba 5.211 5.211 5.211

=====

No. 2
8
Lattice="4.892 0.000 0.000 0.000 4.892 0.000 0.000 0.000 6.896" Properties=species:S:1:pos:R:3 comment="PmTm3Cu4 (PBE, relaxed)" total_energy_ev_per_atom=-4.57 dos_at_fermi_per_ev_cell=4.77 total_magnetization_mub_per_cell=0.0 pbc="T T T"
Pm 0.000 0.000 0.000
Tm 0.000 0.000 3.448
Tm 2.446 2.446 0.000
Tm 2.446 2.446 3.448
Cu 0.000 2.446 1.806
Cu 0.000 2.446 5.091
Cu 2.446 0.000 1.806
Cu 2.446 0.000 5.091

=====

No. 3
14
Lattice="-2.148 4.487 6.439 2.148 -4.487 6.439 2.148 4.487 -6.439" Properties=species:S:1:pos:R:3 comment="Pr3Al3Cu8 (PBE, relaxed)" total_energy_ev_per_atom=-4.42 dos_at_fermi_per_ev_cell=7.96 total_magnetization_mub_per_cell=0.0 pbc="T T T"
Pr 0.000 0.000 0.000
Pr 0.000 0.000 3.792
Pr 0.000 0.000 9.086
Al 2.148 2.660 0.000
Al 0.000 4.487 0.000
Al 0.000 1.827 6.439
Cu 2.148 -1.317 2.119
Cu 2.148 -1.919 4.787
Cu 2.148 1.317 2.119
Cu 0.000 2.568 1.652
Cu 2.148 1.919 4.787
Cu 0.000 3.170 4.320
Cu 0.000 6.405 1.652
Cu 0.000 5.803 4.320

=====

Number 1: ΔH_f (0 K) 0.120 eV per atom. Number 2: ΔH_f (0 K) -0.254 eV per atom. Number 3: ΔH_f (0 K) -0.258 eV per atom.